(1)
# K2SrMn

K2SrMn after structural relaxation (PBE-GGA, Alexandria).

CIF file:
```
data_K2SrMn
_chemical_formula_sum 'K4 Sr2 Mn2'
_space_group_name_H-M_alt 'I 4/m m m'
_space_group_IT_number 139
_space_group_name_Hall '-I 4 2'
_cell_length_a 5.2272
_cell_length_b 5.2272
_cell_length_c 13.3238
_cell_angle_alpha 90.00
_cell_angle_beta 90.00
_cell_angle_gamma 90.00
loop_
_atom_site_label
_atom_site_fract_x
_atom_site_fract_y
_atom_site_fract_z
_atom_site_occupancy
K1 0.0000 0.5000 0.2500 1
Sr1 0.0000 0.0000 0.0000 1
Mn1 0.0000 0.0000 0.5000 1
```

Its formation energy is 2.461 eV per formula unit. The calculation puts the excess energy over the best structure of this formula in the dataset at 13.05 kJ/mol of atoms.

(2)
# KSrMn2

KSrMn2 after structural relaxation (PBE-GGA, Alexandria).

CIF file:
```
data_KSrMn2
_chemical_formula_sum 'K1 Sr1 Mn2'
_space_group_name_H-M_alt 'P 4 m m'
_space_group_IT_number 99
_cell_length_a 3.6516
_cell_length_b 3.6516
_cell_length_c 9.8255
_cell_angle_alpha 90.00
_cell_angle_beta 90.00
_cell_angle_gamma 90.00
loop_
_space_group_symop_operation_xyz
'x,y,z'
'-y,x,z'
'-x,-y,z'
'y,-x,z'
'-x,y,z'
'y,x,z'
'x,-y,z'
'-y,-x,z'
loop_
_atom_site_label
_atom_site_fract_x
_atom_site_fract_y
_atom_site_fract_z
_atom_site_occupancy
K1 0.0000 0.0000 0.0000 1
Sr1 0.5000 0.5000 0.6008 1
Mn1 0.0000 0.0000 0.3816 1
Mn2 0.5000 0.5000 0.2727 1
```

Its formation energy is 2.767 eV per formula unit. The calculation puts the excess energy over the best structure of this formula in the dataset at 0.00 kJ/mol of atoms.